(1)
# GGA-PBE Dy2Mn3Cu9P7, optimized geometry
data_Dy2Mn3Cu9P7
_symmetry_space_group_name_H-M 'P 1'
_symmetry_Int_Tables_number 1
_cell_length_a 9.498
_cell_length_b 9.498
_cell_length_c 3.759
_cell_angle_alpha 90.00
_cell_angle_beta 90.00
_cell_angle_gamma 120.00
loop_
_symmetry_equiv_pos_as_xyz
'x,y,z'
loop_
_atom_site_label
_atom_site_type_symbol
_atom_site_fract_x
_atom_site_fract_y
_atom_site_fract_z
_atom_site_occupancy
Dy1 Dy 0.000 0.000 0.000 1
Dy2 Dy 0.333 0.667 0.500 1
Mn1 Mn 0.449 0.200 0.000 1
Mn2 Mn 0.750 0.551 0.000 1
Mn3 Mn 0.800 0.250 0.000 1
Cu1 Cu 0.051 0.287 0.500 1
Cu2 Cu 0.093 0.720 0.000 1
Cu3 Cu 0.236 0.949 0.500 1
Cu4 Cu 0.280 0.373 0.000 1
Cu5 Cu 0.501 0.447 0.500 1
Cu6 Cu 0.553 0.054 0.500 1
Cu7 Cu 0.627 0.907 0.000 1
Cu8 Cu 0.713 0.764 0.500 1
Cu9 Cu 0.946 0.499 0.500 1
P1 P 0.083 0.458 0.000 1
P2 P 0.253 0.202 0.500 1
P3 P 0.375 0.917 0.000 1
P4 P 0.542 0.625 0.000 1
P5 P 0.667 0.333 0.500 1
P6 P 0.798 0.051 0.500 1
P7 P 0.949 0.747 0.500 1
# M_tot	10.56	μB/f.u.
# energy of formation from the pure elements	-421	meV/atom
# space group	P-6 (174)
# total DFT energy (no corrections)	-120.29	eV for the cell shown
# N(E_F)	9.5	states/eV per cell

***

(2)
# GGA-PBE DyPuMnCu, optimized geometry
data_DyPuMnCu
_symmetry_space_group_name_H-M 'P 1'
_symmetry_Int_Tables_number 1
_cell_length_a 4.880
_cell_length_b 4.880
_cell_length_c 4.880
_cell_angle_alpha 60.00
_cell_angle_beta 60.00
_cell_angle_gamma 60.00
loop_
_symmetry_equiv_pos_as_xyz
'x,y,z'
loop_
_atom_site_label
_atom_site_type_symbol
_atom_site_fract_x
_atom_site_fract_y
_atom_site_fract_z
_atom_site_occupancy
Dy1 Dy 0.000 0.000 0.000 1
Pu1 Pu 0.500 0.500 0.500 1
Mn1 Mn 0.250 0.250 0.250 1
Cu1 Cu 0.750 0.750 0.750 1
# M_tot	2.80	μB/f.u.
# energy of formation from the pure elements	92	meV/atom
# space group	F-43m (216)
# total DFT energy (no corrections)	-31.83	eV for the cell shown
# N(E_F)	8.4	states/eV per cell

***

(3)
# GGA-PBE SmDyMnCu, optimized geometry
data_SmDyMnCu
_symmetry_space_group_name_H-M 'P 1'
_symmetry_Int_Tables_number 1
_cell_length_a 5.005
_cell_length_b 5.005
_cell_length_c 5.005
_cell_angle_alpha 60.00
_cell_angle_beta 60.00
_cell_angle_gamma 60.00
loop_
_symmetry_equiv_pos_as_xyz
'x,y,z'
loop_
_atom_site_label
_atom_site_type_symbol
_atom_site_fract_x
_atom_site_fract_y
_atom_site_fract_z
_atom_site_occupancy
Sm1 Sm 0.000 0.000 0.000 1
Dy1 Dy 0.500 0.500 0.500 1
Mn1 Mn 0.750 0.750 0.750 1
Cu1 Cu 0.250 0.250 0.250 1
# M_tot	3.11	μB/f.u.
# energy of formation from the pure elements	57	meV/atom
# space group	F-43m (216)
# total DFT energy (no corrections)	-22.36	eV for the cell shown
# N(E_F)	4.3	states/eV per cell

***

(4)
# GGA-PBE Dy2MnZn3Cu12, optimized geometry
data_Dy2MnZn3Cu12
_symmetry_space_group_name_H-M 'P 1'
_symmetry_Int_Tables_number 1
_cell_length_a 9.639
_cell_length_b 9.639
_cell_length_c 9.639
_cell_angle_alpha 37.13
_cell_angle_beta 37.13
_cell_angle_gamma 37.13
loop_
_symmetry_equiv_pos_as_xyz
'x,y,z'
loop_
_atom_site_label
_atom_site_type_symbol
_atom_site_fract_x
_atom_site_fract_y
_atom_site_fract_z
_atom_site_occupancy
Dy1 Dy 0.147 0.147 0.147 1
Dy2 Dy 0.853 0.853 0.853 1
Mn1 Mn 0.500 0.500 0.500 1
Zn1 Zn 0.000 0.500 0.500 1
Zn2 Zn 0.500 0.000 0.500 1
Zn3 Zn 0.500 0.500 0.000 1
Cu1 Cu 0.080 0.080 0.692 1
Cu2 Cu 0.080 0.692 0.080 1
Cu3 Cu 0.121 0.588 0.588 1
Cu4 Cu 0.308 0.920 0.920 1
Cu5 Cu 0.412 0.412 0.879 1
Cu6 Cu 0.412 0.879 0.412 1
Cu7 Cu 0.588 0.121 0.588 1
Cu8 Cu 0.588 0.588 0.121 1
Cu9 Cu 0.692 0.080 0.080 1
Cu10 Cu 0.879 0.412 0.412 1
Cu11 Cu 0.920 0.308 0.920 1
Cu12 Cu 0.920 0.920 0.308 1
# M_tot	3.38	μB/f.u.
# energy of formation from the pure elements	156	meV/atom
# space group	R-3m (166)
# total DFT energy (no corrections)	-68.53	eV for the cell shown
# N(E_F)	7.3	states/eV per cell

***

(5)
# GGA-PBE DyZrMnCu, optimized geometry
data_DyZrMnCu
_symmetry_space_group_name_H-M 'P 1'
_symmetry_Int_Tables_number 1
_cell_length_a 4.745
_cell_length_b 4.745
_cell_length_c 4.745
_cell_angle_alpha 60.00
_cell_angle_beta 60.00
_cell_angle_gamma 60.00
loop_
_symmetry_equiv_pos_as_xyz
'x,y,z'
loop_
_atom_site_label
_atom_site_type_symbol
_atom_site_fract_x
_atom_site_fract_y
_atom_site_fract_z
_atom_site_occupancy
Dy1 Dy 0.000 0.000 0.000 1
Zr1 Zr 0.500 0.500 0.500 1
Mn1 Mn 0.750 0.750 0.750 1
Cu1 Cu 0.250 0.250 0.250 1
# M_tot	1.57	μB/f.u.
# energy of formation from the pure elements	39	meV/atom
# space group	F-43m (216)
# total DFT energy (no corrections)	-26.26	eV for the cell shown
# N(E_F)	4.9	states/eV per cell

***

(6)
# GGA-PBE DyThCuMo, optimized geometry
data_DyThCuMo
_symmetry_space_group_name_H-M 'P 1'
_symmetry_Int_Tables_number 1
_cell_length_a 4.994
_cell_length_b 4.994
_cell_length_c 4.994
_cell_angle_alpha 60.00
_cell_angle_beta 60.00
_cell_angle_gamma 60.00
loop_
_symmetry_equiv_pos_as_xyz
'x,y,z'
loop_
_atom_site_label
_atom_site_type_symbol
_atom_site_fract_x
_atom_site_fract_y
_atom_site_fract_z
_atom_site_occupancy
Dy1 Dy 0.000 0.000 0.000 1
Th1 Th 0.500 0.500 0.500 1
Cu1 Cu 0.750 0.750 0.750 1
Mo1 Mo 0.250 0.250 0.250 1
# M_tot	0.00	μB/f.u.
# energy of formation from the pure elements	95	meV/atom
# space group	F-43m (216)
# total DFT energy (no corrections)	-26.57	eV for the cell shown
# N(E_F)	3.3	states/eV per cell